An optimized crystal structure of TmZnO3. Source: OQMD via LeMat-Bulk, functional PBE-GGA.

```
TmZnO3
1.0
2.7516 1.5886 4.1453
-2.7516 1.5886 4.1453
0.0000 -3.1773 4.1453
Tm Zn O
2 2 6
direct
0.2500 0.2500 0.2500
0.7500 0.7500 0.7500
0.0000 0.0000 0.0000
0.5000 0.5000 0.5000
0.1457 0.7500 0.3543
0.2500 0.6457 0.8543
0.3543 0.1457 0.7500
0.6457 0.8543 0.2500
0.7500 0.3543 0.1457
0.8543 0.2500 0.6457
```

Summary:
Space group = R-3c, No. 167
Energy = -6.237 eV per atom

***

An optimized crystal structure of TmZr2O4. Source: OQMD via LeMat-Bulk, functional PBE-GGA.

```
TmZr2O4
1.0
0.0000 4.6045 4.6045
4.6045 0.0000 4.6045
4.6045 4.6045 0.0000
Tm Zr O
2 4 8
direct
0.1250 0.1250 0.1250
0.8750 0.8750 0.8750
0.0000 0.5000 0.5000
0.5000 0.0000 0.5000
0.5000 0.5000 0.0000
0.5000 0.5000 0.5000
0.2556 0.2556 0.2556
0.2556 0.2556 0.7333
0.2556 0.7333 0.2556
0.2667 0.7444 0.7444
0.7333 0.2556 0.2556
0.7444 0.2667 0.7444
0.7444 0.7444 0.2667
0.7444 0.7444 0.7444
```

Summary:
Space group = Fd-3m, No. 227
Energy = -8.756 eV per atom

***

An optimized crystal structure of TmZrO3. Source: OQMD via LeMat-Bulk, functional PBE-GGA.

```
TmZrO3
1.0
-2.7668 4.0885 2.8759
2.7668 -4.0885 2.8759
2.7668 4.0885 -2.8759
Tm Zr O
2 2 6
direct
0.2851 0.0351 0.2500
0.7149 0.9649 0.7500
0.0000 0.5000 0.5000
0.5000 0.5000 0.0000
0.1053 0.3553 0.7500
0.3414 0.0000 0.8414
0.3414 0.5000 0.3414
0.6586 0.0000 0.1586
0.6586 0.5000 0.6586
0.8947 0.6447 0.2500
```

Summary:
Space group = Imma, No. 74
Energy = -8.625 eV per atom

***

An optimized crystal structure of YZnO3. Source: OQMD via LeMat-Bulk, functional PBE-GGA.

```
YZnO3
1.0
2.7335 1.5782 4.8106
-2.7335 1.5782 4.8106
0.0000 -3.1563 4.8106
Y Zn O
2 2 6
direct
0.1343 0.1343 0.1343
0.8657 0.8657 0.8657
0.3505 0.3505 0.3505
0.6495 0.6495 0.6495
0.0550 0.7161 0.4707
0.2839 0.5293 0.9450
0.4707 0.0550 0.7161
0.5293 0.9450 0.2839
0.7161 0.4707 0.0550
0.9450 0.2839 0.5293
```

Summary:
Space group = R-3, No. 148
Energy = -6.558 eV per atom

***

An optimized crystal structure of YZnO3. Source: OQMD via LeMat-Bulk, functional PBE-GGA.

```
YZnO3
1.0
2.7667 1.5973 4.1959
-2.7667 1.5973 4.1959
0.0000 -3.1947 4.1959
Y Zn O
2 2 6
direct
0.2500 0.2500 0.2500
0.7500 0.7500 0.7500
0.0000 0.0000 0.0000
0.5000 0.5000 0.5000
0.1530 0.7500 0.3470
0.2500 0.6530 0.8470
0.3470 0.1530 0.7500
0.6530 0.8470 0.2500
0.7500 0.3470 0.1530
0.8470 0.2500 0.6530
```

Summary:
Space group = R-3c, No. 167
Energy = -6.613 eV per atom

***

An optimized crystal structure of YZnO3. Source: OQMD via LeMat-Bulk, functional PBE-GGA.

```
YZnO3
1.0
3.7881 0.0000 0.0000
0.0000 3.7881 0.0000
0.0000 0.0000 4.0975
Y Zn O
1 1 3
direct
0.0000 0.0000 0.0000
0.5000 0.5000 0.5951
0.0000 0.5000 0.6637
0.5000 0.0000 0.6637
0.5000 0.5000 0.1184
```

Summary:
Space group = P4mm, No. 99
Energy = -6.467 eV per atom

***

An optimized crystal structure of YZn2O4. Source: OQMD via LeMat-Bulk, functional PBE-GGA.

```
YZn2O4
1.0
0.0000 4.4336 4.4336
4.4336 0.0000 4.4336
4.4336 4.4336 0.0000
Y Zn O
2 4 8
direct
0.1250 0.1250 0.1250
0.8750 0.8750 0.8750
0.0000 0.5000 0.5000
0.5000 0.0000 0.5000
0.5000 0.5000 0.0000
0.5000 0.5000 0.5000
0.2640 0.2640 0.2640
0.2640 0.2640 0.7080
0.2640 0.7080 0.2640
0.2920 0.7360 0.7360
0.7080 0.2640 0.2640
0.7360 0.2920 0.7360
0.7360 0.7360 0.2920
0.7360 0.7360 0.7360
```

Summary:
Space group = Fd-3m, No. 227
Energy = -5.930 eV per atom

***

An optimized crystal structure of Y2ZnO4. Source: OQMD via LeMat-Bulk, functional PBE-GGA.

```
Y2ZnO4
1.0
0.0000 4.6325 4.6325
4.6325 0.0000 4.6325
4.6325 4.6325 0.0000
Y Zn O
4 2 8
direct
0.0000 0.0000 0.0000
0.0000 0.0000 0.5000
0.0000 0.5000 0.0000
0.5000 0.0000 0.0000
0.3750 0.3750 0.3750
0.6250 0.6250 0.6250
0.2354 0.7549 0.7549
0.2451 0.2451 0.2451
0.2451 0.2451 0.7646
0.2451 0.7646 0.2451
0.7549 0.2354 0.7549
0.7549 0.7549 0.2354
0.7549 0.7549 0.7549
0.7646 0.2451 0.2451
```

Summary:
Space group = Fd-3m, No. 227
Energy = -7.626 eV per atom

***

An optimized crystal structure of Y2Zr30O63. Source: OQMD via LeMat-Bulk, functional PBE-GGA.

```
Y2Zr30O63
1.0
7.2425 -7.2525 0.0000
7.2425 7.2525 0.0000
0.0000 0.0000 10.3699
Y Zr O
2 30 63
direct
0.1237 0.8763 0.0000
0.8763 0.1237 0.0000
0.1219 0.3753 0.9923
0.1235 0.3722 0.4955
0.1261 0.6243 0.7482
0.1266 0.1266 0.7445
0.1278 0.6246 0.2448
0.1338 0.8662 0.5044
0.1382 0.1382 0.2363
0.3722 0.1235 0.4955
0.3738 0.6262 0.9976
0.3753 0.1219 0.9923
0.3754 0.8722 0.2448
0.3758 0.3758 0.7477
0.3757 0.8739 0.7482
0.3767 0.6233 0.4966
0.3777 0.3777 0.2454
0.6223 0.6223 0.2454
0.6233 0.3767 0.4966
0.6243 0.1261 0.7482
0.6242 0.6242 0.7477
0.6246 0.1278 0.2448
0.6247 0.8781 0.9923
0.6262 0.3738 0.9976
0.6278 0.8765 0.4955
0.8618 0.8618 0.2363
0.8662 0.1338 0.5044
0.8722 0.3754 0.2448
0.8734 0.8734 0.7445
0.8739 0.3757 0.7482
0.8765 0.6278 0.4955
0.8781 0.6247 0.9923
0.0000 0.0000 0.1571
0.0000 0.0000 0.5783
0.0000 0.0000 0.8440
0.0000 0.5000 0.0977
0.0000 0.5000 0.3491
0.0000 0.5000 0.5969
0.0000 0.5000 0.8492
0.0044 0.2592 0.1397
0.0064 0.7497 0.6388
0.0066 0.2533 0.8832
0.0081 0.2283 0.3880
0.2283 0.0081 0.3880
0.2426 0.2426 0.5976
0.2472 0.4930 0.6435
0.2467 0.7533 0.3563
0.2481 0.5039 0.3948
0.2492 0.2492 0.0985
0.2490 0.4972 0.1447
0.2500 0.5021 0.8943
0.2503 0.9936 0.6388
0.2512 0.7488 0.8526
0.2520 0.2520 0.8481
0.2533 0.0066 0.8832
0.2552 0.7448 0.1107
0.2562 0.7438 0.6067
0.2573 0.2573 0.3517
0.2592 0.0044 0.1397
0.4930 0.2472 0.6435
0.4961 0.7519 0.3948
0.4972 0.2490 0.1447
0.4979 0.7500 0.8943
0.5000 0.0000 0.0977
0.5000 0.0000 0.3491
0.5000 0.0000 0.5969
0.5000 0.0000 0.8492
0.5000 0.5000 0.1002
0.5000 0.5000 0.3519
0.5000 0.5000 0.6009
0.5000 0.5000 0.8501
0.5021 0.2500 0.8943
0.5028 0.7510 0.1447
0.5039 0.2481 0.3948
0.5070 0.7528 0.6435
0.7408 0.9956 0.1397
0.7427 0.7427 0.3517
0.7438 0.2562 0.6067
0.7448 0.2552 0.1107
0.7467 0.9934 0.8832
0.7480 0.7480 0.8481
0.7488 0.2512 0.8526
0.7497 0.0064 0.6388
0.7500 0.4979 0.8943
0.7510 0.5028 0.1447
0.7508 0.7508 0.0985
0.7519 0.4961 0.3948
0.7533 0.2467 0.3563
0.7528 0.5070 0.6435
0.7574 0.7574 0.5976
0.7717 0.9919 0.3880
0.9919 0.7717 0.3880
0.9934 0.7467 0.8832
0.9936 0.2503 0.6388
0.9956 0.7408 0.1397
```

Summary:
Space group = Cmm2, No. 35
Energy = -9.432 eV per atom

***

An optimized crystal structure of Y2Zr30O63. Source: OQMD via LeMat-Bulk, functional PBE-GGA.

```
Y2Zr30O63
1.0
7.2709 -7.2375 0.0000
7.2709 7.2375 0.0000
-0.0001 0.0000 10.3515
Y Zr O
2 30 63
direct
0.0000 0.0000 0.0000
0.0037 0.0037 0.5010
0.0012 0.7550 0.2498
0.0019 0.2500 0.7509
0.0017 0.5035 0.9969
0.0026 0.2461 0.2495
0.0037 0.7565 0.7503
0.2461 0.0026 0.2495
0.2468 0.4994 0.7517
0.2477 0.4974 0.2476
0.2493 0.2493 0.0011
0.2487 0.2487 0.4984
0.2489 0.7489 0.9973
0.2500 0.0019 0.7509
0.2546 0.7502 0.4977
0.4895 0.7647 0.2393
0.4911 0.4911 0.5124
0.4974 0.2477 0.2476
0.4985 0.4985 0.9997
0.4994 0.2468 0.7517
0.5016 0.7525 0.7488
0.5021 0.9986 0.5004
0.5035 0.0017 0.9969
0.7489 0.2489 0.9973
0.7502 0.2546 0.4977
0.7500 0.7500 0.0042
0.7525 0.5016 0.7488
0.7550 0.0012 0.2498
0.7565 0.0037 0.7503
0.7584 0.7584 0.5104
0.7647 0.4895 0.2393
0.9986 0.5021 0.5004
0.1115 0.3878 0.6457
0.1175 0.3830 0.1458
0.1172 0.6189 0.8544
0.1184 0.6185 0.3537
0.1239 0.8762 0.1439
0.1248 0.1248 0.8572
0.1257 0.1257 0.3578
0.1314 0.6294 0.6016
0.1313 0.8764 0.6424
0.1321 0.3735 0.8953
0.1335 0.6266 0.1032
0.1335 0.1335 0.1139
0.1336 0.3757 0.3961
0.1346 0.8665 0.3861
0.1345 0.8680 0.8855
0.1360 0.1360 0.6158
0.3665 0.3665 0.6122
0.3710 0.3710 0.1077
0.3726 0.6301 0.8949
0.3730 0.8702 0.1033
0.3735 0.1321 0.8953
0.3757 0.1336 0.3961
0.3804 0.8909 0.3537
0.3808 0.6152 0.6486
0.3809 0.8645 0.6018
0.3816 0.6186 0.1447
0.3830 0.1175 0.1458
0.3841 0.3841 0.3583
0.3843 0.3843 0.8579
0.3853 0.8839 0.8523
0.3878 0.1115 0.6457
0.3994 0.6379 0.3945
0.6152 0.3808 0.6486
0.6163 0.8911 0.1431
0.6189 0.1172 0.8544
0.6185 0.1184 0.3537
0.6186 0.3816 0.1447
0.6190 0.6190 0.8583
0.6220 0.8468 0.3906
0.6249 0.8827 0.6450
0.6266 0.1335 0.1032
0.6276 0.6276 0.5919
0.6283 0.8686 0.8959
0.6294 0.1314 0.6016
0.6301 0.3726 0.8949
0.6339 0.6339 0.1333
0.6379 0.3994 0.3945
0.8468 0.6220 0.3906
0.8645 0.3809 0.6018
0.8665 0.1346 0.3861
0.8660 0.8660 0.1173
0.8680 0.1345 0.8855
0.8686 0.6283 0.8959
0.8702 0.3730 0.1033
0.8746 0.8746 0.6187
0.8762 0.1239 0.1439
0.8764 0.1313 0.6424
0.8761 0.8761 0.8594
0.8765 0.8765 0.3615
0.8827 0.6249 0.6450
0.8839 0.3853 0.8523
0.8909 0.3804 0.3537
0.8911 0.6163 0.1431
```

Summary:
Space group = Cm, No. 8
Energy = -9.427 eV per atom

***

energy of number 2 (TmZr2O4)? -8.756 eV per atom